# 1
DFT (PBE-GGA) results for TcSbAs after structural relaxation.

The structure belongs to space group F-43m (No. 216); the cell edges are 6.272, 6.272 and 6.272 Å and the angles 90.00°, 90.00° and 90.00°. Symmetry generates all atoms from Tc at (0.000, 0.000, 0.000), Sb at (0.250, 0.250, 0.250) and As at (0.250, 0.250, 0.750).

The value obtained for the uncorrected formation energy is 173.9 meV/atom. The value obtained for the total energy is -6.21 eV per atom. The value obtained for the density of states at the Fermi level is 1.189 states/eV/atom. For the relative energy among the computed polymorphs, the calculation gives 0.85 eV/f.u.

---

# 2
DFT (PBE-GGA) results for Ce6Sn3C after structural relaxation.

The structure belongs to space group C2/m (No. 12); the cell edges are 11.002, 6.476 and 7.854 Å and the angles 90.00°, 106.02° and 90.00°. Symmetry generates all atoms from Ce at (0.117, 0.230, 0.389), Ce at (0.135, 0.500, 0.836), Sn at (0.000, 0.000, 0.000), Sn at (0.176, 0.000, 0.760) and C at (0.000, 0.500, 0.500).

The energy of formation from the pure elements comes out at -0.342 eV per atom. The value obtained for the total energy is -6.03 eV per atom. The value obtained for the density of states at the Fermi level is 2.848 states/eV/atom.

---

# 3
DFT (PBE-GGA) results for EuNpAu2 after structural relaxation.

The structure belongs to space group R-3m (No. 166, hexagonal axes); the cell edges are 4.3225, 4.3225 and 21.2383 Å and the angles 90.00°, 90.00° and 120.00°. Symmetry generates all atoms from Eu at (0.0000, 0.0000, 0.0000), Np at (0.0000, 0.0000, 0.5000) and Au at (0.0000, 0.0000, 0.2437).

The energy of formation from the pure elements comes out at -0.221 eV per atom. The value obtained for the total energy is -7.66 eV per atom. The value obtained for the density of states at the Fermi level is 5.076 states/eV/atom.

---

# 4
DFT (PBE-GGA) results for Mn2SiIrS after structural relaxation.

The structure belongs to space group Pmm2 (No. 25); the cell edges are 2.909, 3.261 and 7.588 Å and the angles 90.00°, 90.00° and 90.00°. Symmetry generates all atoms from Mn at (0.000, 0.000, 0.000), Mn at (0.500, 0.500, 0.210), Si at (0.000, 0.000, 0.635), Ir at (0.500, 0.500, 0.780) and S at (0.000, 0.000, 0.333).

The value obtained for the uncorrected formation energy is -208.1 meV/atom. The value obtained for the total energy is -7.56 eV per atom. The value obtained for the density of states at the Fermi level is 0.584 states/eV/atom. For the relative energy among the computed polymorphs, the calculation gives 0.40 eV/f.u.

---

- Number 1 is which compound?
  TcSbAs